[1]
ZnAu3 after structural relaxation. Source: Alexandria, functional PBEsol.

a b c (Å): 2.9867 4.7981 4.7981
angles (deg): 108.61 90.00 90.00
With the nearest neighbours (Å) after each atom.
Element x y z (fractional)
Zn 0.0000 0.5000 0.5000  10 Au 2.80-2.83, 2 Zn 2.99
Au 0.5000 0.0000 0.5000  8 Au 2.80-2.99, 4 Zn 2.83
Au 0.0000 0.0000 0.0000  2 Zn 2.80, 10 Au 2.83-2.99
Au 0.5000 0.5000 0.0000  8 Au 2.80-2.99, 4 Zn 2.83

formation energy from the elements: -0.106 eV per atom
spin magnetization: 0.0 μB per cell

[2]
Be3Co2 after structural relaxation. Source: Alexandria, functional PBEsol.

a b c (Å): 4.2655 4.2655 5.6563
angles (deg): 101.10 101.10 119.30
With the nearest neighbours (Å) after each atom.
Element x y z (fractional)
Be 0.7850 0.6651 0.2232  4 Be 2.12-2.15, 5 Co 2.19-2.27
Co 0.3820 0.2636 0.3915  8 Be 2.14-2.38
Be 0.9151 0.5350 0.7232  4 Be 2.12-2.15, 5 Co 2.19-2.27
Be 0.0190 0.0190 0.0000  4 Be 2.12-2.15, 4 Co 2.14-2.16
Be 0.4419 0.5618 0.7768  4 Be 2.12-2.15, 5 Co 2.19-2.27
Co 0.8721 0.9905 0.6085  8 Be 2.14-2.38
Be 0.8118 0.1919 0.2768  4 Be 2.12-2.15, 5 Co 2.19-2.27
Co 0.2405 0.6221 0.1085  8 Be 2.14-2.38
Be 0.2690 0.7690 0.5000  4 Be 2.12-2.15, 4 Co 2.14-2.16
Co 0.5136 0.1320 0.8915  8 Be 2.14-2.38

formation energy from the elements: -0.239 eV per atom
spin magnetization: 0.1 μB per cell

[3]
Ca2TiSbO6 after structural relaxation. Source: Alexandria, functional PBEsol.

a b c (Å): 5.4397 5.6399 7.8611
angles (deg): 90.00 90.00 90.02
With the nearest neighbours (Å) after each atom.
Element x y z (fractional)
Ca 0.0123 0.9514 0.7500  4 O 2.32-2.44
Ca 0.5160 0.5632 0.2500  6 O 2.33-2.57
Sb 0.0000 0.5000 0.5000  6 O 2.05-2.11
Ca 0.4840 0.4368 0.7500  6 O 2.33-2.57
O 0.6880 0.2916 0.0518  1 Ti 1.98, 1 Sb 2.10
O 0.5926 0.0316 0.7500  2 Ti 2.04
O 0.7934 0.8076 0.0521  1 Ti 1.97, 1 Sb 2.11
O 0.9012 0.5330 0.7500  2 Sb 2.05
Ti 0.5000 0.0000 0.5000  6 O 1.97-2.04
O 0.7934 0.8076 0.4479  1 Ti 1.97, 1 Sb 2.11
O 0.4074 0.9684 0.2500  2 Ti 2.04
O 0.2066 0.1924 0.5521  1 Ti 1.97, 1 Sb 2.11
O 0.0988 0.4670 0.2500  2 Sb 2.05
O 0.3120 0.7084 0.5518  1 Ti 1.98, 1 Sb 2.10
O 0.2066 0.1924 0.9479  1 Ti 1.97, 1 Sb 2.11
O 0.6880 0.2916 0.4482  1 Ti 1.98, 1 Sb 2.10
Sb 0.0000 0.5000 0.0000  6 O 2.05-2.11
Ca 0.9877 0.0486 0.2500  4 O 2.32-2.44
Ti 0.5000 0.0000 0.0000  6 O 1.97-2.04
O 0.3120 0.7084 0.9482  1 Ti 1.98, 1 Sb 2.10

spin magnetization: 0.0 μB per cell
ΔE_f (raw): -2.595 eV per atom

[4]
KNaTe after structural relaxation. Source: Alexandria, functional PBEsol.

a b c (Å): 5.0667 8.4708 9.2643
angles (deg): 90.00 90.00 90.00
With the nearest neighbours (Å) after each atom.
Element x y z (fractional)
K 0.2500 0.5147 0.3145  5 Te 3.51-3.63, 4 Na 3.65-3.93
Na 0.2500 0.6462 0.9276  4 Te 3.11-3.16
Te 0.2500 0.7756 0.6090  4 Na 3.11-3.16
Na 0.7500 0.8538 0.4276  4 Te 3.11-3.16
Na 0.7500 0.3538 0.0724  4 Te 3.11-3.16
K 0.7500 0.4853 0.6855  5 Te 3.51-3.63, 4 Na 3.65-3.93
Te 0.2500 0.2756 0.8910  4 Na 3.11-3.16
Na 0.2500 0.1462 0.5724  4 Te 3.11-3.16
K 0.2500 0.0147 0.1855  5 Te 3.51-3.63, 4 Na 3.65-3.93
Te 0.7500 0.7244 0.1090  4 Na 3.11-3.16
K 0.7500 0.9853 0.8145  5 Te 3.51-3.63, 4 Na 3.65-3.93
Te 0.7500 0.2244 0.3910  4 Na 3.11-3.16

spin magnetization: 0.0 μB per cell
ΔE_f (raw): -0.988 eV per atom

[5]
BaCo2Re after structural relaxation. Source: Alexandria, functional PBEsol.

a b c (Å): 3.0217 3.0217 7.6158
angles (deg): 90.00 90.00 90.00
With the nearest neighbours (Å) after each atom.
Element x y z (fractional)
Co 0.0000 0.0000 0.0927  1 Re 2.39, 4 Co 2.41
Ba 0.5000 0.5000 0.7610  4 Ba 3.02, 4 Co 3.31
Co 0.5000 0.5000 0.2400  4 Co 2.41, 4 Re 2.48
Re 0.0000 0.0000 0.4063  5 Co 2.39-2.48

formation energy from the elements: 0.747 eV per atom
spin magnetization: 2.2 μB per cell

[6]
LaAgHg2 after structural relaxation. Source: Alexandria, functional PBEsol.

a b c (Å): 3.5541 3.5541 7.2578
angles (deg): 90.00 90.00 90.00
With the nearest neighbours (Å) after each atom.
Element x y z (fractional)
Hg 0.0000 0.0000 0.2890  4 Ag 2.94, 1 Hg 3.06, 4 La 3.27
Hg 0.0000 0.0000 0.7110  4 Ag 2.94, 1 Hg 3.06, 4 La 3.27
La 0.5000 0.5000 0.0000  8 Hg 3.27, 4 La 3.55, 2 Ag 3.63
Ag 0.5000 0.5000 0.5000  8 Hg 2.94

formation energy from the elements: -0.319 eV per atom
spin magnetization: 0.0 μB per cell